No. 1
Material: Tm6In2Ag
Method: DFT, PBE
State: relaxed

The space group is P4_2/mnm (No. 136) and the conventional cell measures 9.839, 9.839 and 4.992 Å, with angles of 90.00, 90.00 and 90.00 degrees. The inequivalent atoms are Tm at (0.024, 0.322, 0.000), Tm at (0.124, 0.876, 0.500), In at (0.203, 0.203, 0.500) and Ag at (0.000, 0.000, 0.000).

The value obtained for the formation energy is -0.26 eV per atom. Its total energy is -4.17 eV per atom. For the density of states at the Fermi level, the calculation gives 10.6 states/eV/f.u.

---

No. 2
Material: CsCuOs2
Method: DFT, PBE
State: relaxed

The space group is I-42d (No. 122) and the conventional cell measures 4.388, 4.388 and 19.181 Å, with angles of 90.00, 90.00 and 90.00 degrees. The inequivalent atoms are Cs at (0.000, 0.000, 0.000), Cu at (0.000, 0.000, 0.500) and Os at (0.115, 0.250, 0.625).

The value obtained for the formation energy is 1.55 eV per atom. Its energy above the most stable polymorph in this dataset is 0 meV/atom. Its total energy is -5.31 eV per atom. For the density of states at the Fermi level, the calculation gives 2.7 states/eV/f.u.

---

No. 3
Material: AlHBr2
Method: DFT, PBE
State: relaxed

The space group is R-3m (No. 166, hexagonal axes) and the conventional cell measures 4.7905, 4.7905 and 19.9456 Å, with angles of 90.00, 90.00 and 120.00 degrees. The inequivalent atoms are Al at (0.0000, 0.0000, 0.0000), H at (0.0000, 0.0000, 0.5000) and Br at (0.0000, 0.0000, 0.4141).

Its total energy is -2.75 eV per atom. For the density of states at the Fermi level, the calculation gives 0.0 states/eV/f.u.

---

No. 4
Material: CsCo3Hg
Method: DFT, PBE
State: relaxed

The space group is Pm-3m (No. 221) and the conventional cell measures 4.781, 4.781 and 4.781 Å, with angles of 90.00, 90.00 and 90.00 degrees. The inequivalent atoms are Cs at (0.000, 0.000, 0.000), Co at (0.000, 0.000, 0.500) and Hg at (0.500, 0.500, 0.500).

The value obtained for the formation energy is 2.29 eV per atom. Its energy above the most stable polymorph in this dataset is 840 meV/atom. Its total energy is -2.20 eV per atom. For the density of states at the Fermi level, the calculation gives 9.7 states/eV/f.u.